The following is a DFT calculation (PBE-GGA) of crystalline Pm2DyAg2Hg2 at its relaxed geometry.

Output
The value obtained for the energy is -22.1 eV/cell.

Cell lengths 9.262, 9.262, 9.262 Å; angles 30.58, 30.58, 30.58 degrees
Positions (direct):
Pm 0.123 0.123 0.123
Pm 0.877 0.877 0.877
Dy 0.000 0.000 0.000
Ag 0.393 0.393 0.393
Ag 0.607 0.607 0.607
Hg 0.264 0.264 0.264
Hg 0.736 0.736 0.736



The following is a DFT calculation (PBE-GGA) of crystalline PrDyAgHg at its relaxed geometry.

Output
The calculation puts the distance to the lowest polymorph of the same formula at 7 meV per atom.

Cell lengths 7.507, 7.507, 7.507 Å; angles 90.00, 90.00, 90.00 degrees
Positions (direct):
Pr 0.000 0.000 0.000
Pr 0.000 0.500 0.500
Pr 0.500 0.000 0.500
Pr 0.500 0.500 0.000
Dy 0.000 0.000 0.500
Dy 0.000 0.500 0.000
Dy 0.500 0.000 0.000
Dy 0.500 0.500 0.500
Ag 0.250 0.250 0.750
Ag 0.250 0.750 0.250
Ag 0.750 0.250 0.250
Ag 0.750 0.750 0.750
Hg 0.250 0.250 0.250
Hg 0.250 0.750 0.750
Hg 0.750 0.250 0.750
Hg 0.750 0.750 0.250



The following is a DFT calculation (PBE-GGA) of crystalline PrDyAgHg at its relaxed geometry.

Output
The calculation puts the distance to the lowest polymorph of the same formula at 0 meV per atom.

Cell lengths 3.727, 3.727, 7.592 Å; angles 90.00, 90.00, 90.00 degrees
Positions (direct):
Pr 0.000 0.000 0.000
Dy 0.000 0.000 0.489
Ag 0.500 0.500 0.269
Hg 0.500 0.500 0.727